(1)
## CaRh2Au (PBE-GGA)

Data for a relaxed structure of CaRh2Au.

Lattice parameters (Å, degrees): 4.1225 4.1225 4.0929 90.00 90.00 90.00
Positions (direct):
Ca: 0.0000 0.0000 0.0000
Rh: 0.0000 0.5000 0.5000
Rh: 0.5000 0.0000 0.5000
Au: 0.5000 0.5000 0.0000

Results
DFT formation energy: -184 meV per atom
SG: P4/mmm (123)
Uncorrected energy: -20.7 eV per cell
Spin magnetization: 0.54 Bohr magnetons per cell

---

(2)
## TaMn4Pd (PBE-GGA)

Data for a relaxed structure of TaMn4Pd.

Lattice parameters (Å, degrees): 4.7589 4.7589 4.7589 60.00 60.00 60.00
Positions (direct):
Ta: 0.0000 0.0000 0.0000
Mn: 0.3779 0.3779 0.3779
Mn: 0.3779 0.3779 0.8663
Mn: 0.3779 0.8663 0.3779
Mn: 0.8663 0.3779 0.3779
Pd: 0.7500 0.7500 0.7500

Results
DFT formation energy: -66 meV per atom
SG: F-43m (216)
Uncorrected energy: -54.1 eV per cell
Spin magnetization: 0.28 Bohr magnetons per cell

---

(3)
## Cd2PdCl2 (PBE-GGA)

Data for a relaxed structure of Cd2PdCl2.

Lattice parameters (Å, degrees): 7.4987 7.4987 4.3553 90.00 90.00 90.00
Positions (direct):
Cd: 0.1270 0.3730 0.0000
Cd: 0.3730 0.8730 0.0000
Cd: 0.6270 0.1270 0.0000
Cd: 0.8730 0.6270 0.0000
Pd: 0.0000 0.0000 0.5000
Pd: 0.5000 0.5000 0.5000
Cl: 0.2253 0.7253 0.5000
Cl: 0.2747 0.2253 0.5000
Cl: 0.7253 0.7747 0.5000
Cl: 0.7747 0.2747 0.5000

Results
SG: P4/mbm (127)
Uncorrected energy: -23.2 eV per cell
E_form (uncorrected): -0.18 eV/atom
Spin magnetization: 0.00 Bohr magnetons per cell
Excess energy over the best structure of this formula in the dataset: 0.000 kcal/mol of atoms

---

(4)
## Hg2GeSeF (PBE-GGA)

Data for a relaxed structure of Hg2GeSeF.

Lattice parameters (Å, degrees): 5.3013 5.3013 4.2257 90.00 90.00 90.00
Positions (direct):
Hg: 0.0000 0.5000 0.0000
Hg: 0.5000 0.0000 0.0000
Ge: 0.0000 0.0000 0.5000
Se: 0.5000 0.5000 0.5000
F: 0.5000 0.5000 0.0000

Results
SG: P4/mmm (123)
Uncorrected energy: -9.9 eV per cell
E_form (uncorrected): 0.13 eV/atom
Spin magnetization: 0.00 Bohr magnetons per cell

---

(5)
## HfBePb3 (PBE-GGA)

Data for a relaxed structure of HfBePb3.

Lattice parameters (Å, degrees): 5.0552 5.0552 5.0552 90.00 90.00 90.00
Positions (direct):
Hf: 0.0000 0.0000 0.0000
Be: 0.5000 0.5000 0.5000
Pb: 0.0000 0.5000 0.5000
Pb: 0.5000 0.0000 0.5000
Pb: 0.5000 0.5000 0.0000

Results
DFT formation energy: 718 meV per atom
SG: Pm-3m (221)
Uncorrected energy: -21.2 eV per cell
Spin magnetization: 0.00 Bohr magnetons per cell
Excess energy over the best structure of this formula in the dataset: 0.000 kcal/mol of atoms

---

(6)
## AgBrO2 (PBE-GGA)

Data for a relaxed structure of AgBrO2.

Lattice parameters (Å, degrees): 6.2471 6.2471 6.2471 33.33 33.33 33.33
Positions (direct):
Ag: 0.0000 0.0000 0.0000
Br: 0.5000 0.5000 0.5000
O: 0.1171 0.1171 0.1171
O: 0.8829 0.8829 0.8829

Results
SG: R-3m (166)
Uncorrected energy: -12.2 eV per cell
E_form (uncorrected): 0.55 eV/atom
Spin magnetization: 0.00 Bohr magnetons per cell

---

(7)
## PmPaGa (PBE-GGA)

Data for a relaxed structure of PmPaGa.

Lattice parameters (Å, degrees): 7.4081 7.4081 7.4081 154.49 154.49 36.39
Positions (direct):
Pm: 0.0000 0.0000 0.0000
Pa: 0.3019 0.3019 0.0000
Ga: 0.6561 0.6561 0.0000

Results
DFT formation energy: -88 meV per atom
SG: I4mm (107)
Uncorrected energy: -17.5 eV per cell
Spin magnetization: 0.00 Bohr magnetons per cell
Excess energy over the best structure of this formula in the dataset: 0.000 kcal/mol of atoms

---

(8)
## Rb2HoErO4 (PBE-GGA)

Data for a relaxed structure of Rb2HoErO4.

Lattice parameters (Å, degrees): 6.0319 3.4825 6.8524 90.00 107.05 90.00
Positions (direct):
Rb: 0.0000 0.0000 0.0000
Rb: 0.5000 0.5000 0.0000
Ho: 0.0000 0.5000 0.5000
Er: 0.5000 0.0000 0.5000
O: 0.2258 0.0000 0.6743
O: 0.2764 0.5000 0.3259
O: 0.7236 0.5000 0.6741
O: 0.7742 0.0000 0.3257

Results
SG: P2/m (10)
Uncorrected energy: -52.7 eV per cell
E_form (uncorrected): -2.72 eV/atom
Spin magnetization: 0.00 Bohr magnetons per cell

---

Number 1: D(E_F) 1.108 states/eV per atom. Number 2: D(E_F) 0.889 states/eV per atom. Number 3: D(E_F) 0.120 states/eV per atom. Number 4: D(E_F) 0.705 states/eV per atom. Number 5: D(E_F) 0.702 states/eV per atom. Number 6: D(E_F) 0.348 states/eV per atom. Number 7: D(E_F) 1.810 states/eV per atom. Number 8: D(E_F) 0.000 states/eV per atom.